The following is a DFT calculation (PBE) of crystalline Pr2Nd5Co4 at its relaxed geometry.

Summary:
V: 302 Å³ per cell
D(E_F): 0.983 states/eV per atom
Calculated total energy: -60.26 eV for the cell shown
Total magnetization: 0.000 μB per atom
Energy of formation from the pure elements: 0.142 eV/atom

```
Pr2Nd5Co4
1.0
-0.180 -6.639 1.341
-0.501 -4.525 -5.352
7.098 -3.687 -0.186
Pr Nd Co
2 5 4
Cartesian
3.871 -7.859 -4.157
2.546 -6.992 -0.040
6.198 -5.661 -1.257
0.219 -9.190 -2.941
3.298 -4.106 -2.769
6.111 -8.879 -0.607
0.306 -5.973 -3.590
1.981 -3.500 0.054
4.436 -11.351 -4.252
5.534 -10.993 -2.332
0.883 -3.858 -1.866
```

The following is a DFT calculation (PBE) of crystalline KSmRhO3 at its relaxed geometry.

Summary:
V: 189 Å³ per cell
D(E_F): 0.303 states/eV per atom
Calculated total energy: -79.45 eV for the cell shown
Formation energy without anion corrections: -1.947 eV/atom
Total magnetization: 0.000 μB per atom

```
KSmRhO3
1.0
3.838 0.000 0.000
-1.919 6.685 0.000
0.000 -1.952 7.381
K Sm Rh O
2 2 2 6
Cartesian
0.000 2.949 6.922
1.919 1.784 0.459
1.919 0.923 4.264
0.000 3.810 3.117
0.000 -0.492 2.152
1.919 5.224 5.229
1.919 4.166 1.693
1.919 3.176 4.621
1.919 -0.480 2.177
0.000 1.557 2.760
0.000 5.213 5.204
0.000 0.567 5.688
```

The following is a DFT calculation (PBE) of crystalline ScCrNi at its relaxed geometry.

Summary:
V: 48 Å³ per cell
D(E_F): 0.777 states/eV per atom
Calculated total energy: -21.46 eV for the cell shown
Total magnetization: 0.993 μB per atom
Energy of formation from the pure elements: 0.093 eV/atom

```
ScCrNi
1.0
4.138 0.000 0.000
-2.069 3.583 0.000
0.000 0.000 3.235
Cr Ni Sc
1 1 1
Cartesian
0.000 0.000 0.541
2.069 1.194 0.537
0.000 2.389 2.158
```

The following is a DFT calculation (PBE) of crystalline DyZn4Co at its relaxed geometry.

Summary:
V: 94 Å³ per cell
Calculated total energy: -17.88 eV for the cell shown
Total magnetization: 0.000 μB per atom
Energy of formation from the pure elements: -0.180 eV/atom

```
DyZn4Co
1.0
-2.135 3.929 2.463
-3.303 -0.859 3.797
1.333 1.018 4.822
Zn Co Dy
4 1 1
Cartesian
-3.244 2.046 4.505
-0.902 2.995 5.023
-2.571 2.561 6.941
-1.492 0.576 5.696
0.000 0.000 0.000
-1.026 1.022 2.771
```

The following is a DFT calculation (PBE) of crystalline Ca2NiW at its relaxed geometry.

Summary:
V: 82 Å³ per cell
D(E_F): 1.291 states/eV per atom
Calculated total energy: -19.03 eV for the cell shown
Total magnetization: 0.633 μB per atom
Energy of formation from the pure elements: 0.927 eV/atom

```
Ca2NiW
1.0
4.879 0.000 0.000
2.439 4.225 0.000
2.439 1.408 3.983
Ni Ca W
1 2 1
Cartesian
4.879 2.817 1.992
0.000 0.000 0.000
2.439 1.408 0.996
7.318 4.225 2.987
```

The following is a DFT calculation (PBE) of crystalline TlSbTe2O8 at its relaxed geometry.

Summary:
V: 223 Å³ per cell
Calculated total energy: -61.94 eV for the cell shown
Formation energy without anion corrections: -0.792 eV/atom
Total magnetization: 0.000 μB per atom

```
TlSbTe2O8
1.0
6.087 0.000 0.000
3.044 5.368 0.389
3.044 2.371 6.983
Tl Sb Te O
1 1 2 8
Cartesian
6.087 3.869 3.686
0.000 0.000 0.000
3.044 1.799 1.089
9.131 5.940 6.284
9.131 4.244 5.492
6.087 3.241 1.088
3.044 3.494 1.880
6.087 4.498 6.285
4.510 0.720 1.531
7.664 7.018 5.841
1.577 0.720 1.531
10.597 7.018 5.841
```

The following is a DFT calculation (PBE) of crystalline CsOF at its relaxed geometry.

Summary:
V: 368 Å³ per cell
D(E_F): 0.618 states/eV per atom
Calculated total energy: -51.45 eV for the cell shown
Formation energy without anion corrections: -1.726 eV/atom
Total magnetization: 0.337 μB per atom

```
CsOF
1.0
-1.842 -3.720 0.714
-0.266 -1.455 -8.268
9.408 -4.201 2.378
Cs O F
4 4 4
Cartesian
4.627 -6.107 -1.305
2.814 -2.525 0.260
2.673 -3.269 -3.870
4.486 -6.852 -5.436
8.507 -5.674 2.256
-1.617 -4.071 -3.087
-1.207 -3.702 -7.432
8.917 -5.305 -2.089
1.980 -4.833 -1.439
5.453 -3.815 0.398
5.320 -4.543 -3.736
1.847 -5.561 -5.574
```

Among the records above, which one has the highest calculated total energy?
DyZn4Co

total magnetization of number 2 (KSmRhO3)?
0.000 μB per atom

Copy entry 6 word for word.
The following is a DFT calculation (PBE) of crystalline TlSbTe2O8 at its relaxed geometry.

Summary:
V: 223 Å³ per cell
Calculated total energy: -61.94 eV for the cell shown
Formation energy without anion corrections: -0.792 eV/atom
Total magnetization: 0.000 μB per atom

```
TlSbTe2O8
1.0
6.087 0.000 0.000
3.044 5.368 0.389
3.044 2.371 6.983
Tl Sb Te O
1 1 2 8
Cartesian
6.087 3.869 3.686
0.000 0.000 0.000
3.044 1.799 1.089
9.131 5.940 6.284
9.131 4.244 5.492
6.087 3.241 1.088
3.044 3.494 1.880
6.087 4.498 6.285
4.510 0.720 1.531
7.664 7.018 5.841
1.577 0.720 1.531
10.597 7.018 5.841
```